An optimized crystal structure of PuPa2Se5, computed with PBE-GGA.

```
PuPa2Se5
1.0
-1.146 -3.885 6.572
6.752 -3.617 -0.961
0.212 8.494 0.524
Se Pa Pu
10 4 2
Cartesian
5.122 -1.598 1.358
2.803 -3.751 2.805
2.233 -3.151 6.186
3.584 4.142 -0.051
4.288 1.516 3.053
0.695 2.590 4.777
-0.009 5.216 1.673
0.000 0.000 0.000
5.826 -4.225 4.462
1.529 -0.524 3.081
2.189 -1.849 0.651
3.416 -5.654 4.960
5.336 -4.433 1.482
0.269 -3.070 4.129
4.310 -1.380 4.470
1.507 2.371 1.665
```

Output
- formation energy from raw total energies (kcal/mol of atoms) = -32.4
- ΔE to the lowest computed polymorph (meV/atom) = 0
- crystal system = tetragonal



An optimized crystal structure of BaCo3Ru, computed with PBE-GGA.

```
BaCo3Ru
1.0
-0.885 -4.628 0.025
4.109 -0.797 -2.163
2.129 -0.384 4.186
Co Ru Ba
3 1 1
Cartesian
-0.442 -2.314 0.013
1.064 -0.192 2.093
2.055 -0.399 -1.082
0.000 0.000 0.000
2.677 -2.905 1.024
```

Output
- ΔE to the lowest computed polymorph (meV/atom) = 0
- crystal system = cubic



An optimized crystal structure of Nb2TeIr2, computed with PBE-GGA.

```
Nb2TeIr2
1.0
-4.019 4.926 -4.784
-2.011 -6.145 -4.638
-2.410 -0.416 1.597
Ir Te Nb
4 2 4
Cartesian
-3.211 -3.518 -5.765
-2.819 2.300 -3.657
-4.755 0.368 -7.083
-1.275 -1.586 -2.338
0.000 0.000 0.000
-3.015 -0.609 -4.711
-5.535 -2.185 -6.254
-5.301 1.833 -4.854
-3.139 -3.468 -2.971
-2.906 0.550 -1.571
```

Output
- formation energy from raw total energies (kcal/mol of atoms) = -4.4
- crystal system = tetragonal



An optimized crystal structure of PrTe3, computed with PBE-GGA.

```
PrTe3
1.0
-2.255 13.575 3.090
-1.096 -12.803 -5.814
-2.826 -1.184 3.141
Pr Te
2 6
Cartesian
-3.995 4.047 2.529
-2.182 -4.459 -2.113
-2.472 2.140 0.115
-3.705 -2.552 0.301
-3.305 -11.641 -2.767
-2.043 -7.624 -3.181
-2.871 11.229 3.183
-4.134 7.212 3.597
```

Output
- formation energy from raw total energies (kcal/mol of atoms) = -23.1
- crystal system = orthorhombic



An optimized crystal structure of TiAlTc3, computed with PBE-GGA.

```
TiAlTc3
1.0
7.609 0.000 0.000
0.000 4.521 0.000
0.000 0.000 9.262
Ti Tc Al
4 12 4
Cartesian
7.609 2.260 4.631
3.805 0.000 0.000
3.805 2.260 4.631
0.000 0.000 0.000
3.264 2.451 7.322
7.069 2.070 1.940
7.069 0.191 6.570
0.540 4.330 2.691
0.540 2.451 7.322
5.707 2.494 6.166
4.345 2.070 1.940
3.264 4.330 2.691
5.707 4.287 1.536
1.902 2.027 3.095
1.902 0.234 7.726
4.345 0.191 6.570
5.707 2.195 8.806
1.902 4.455 5.087
1.902 2.326 0.456
5.707 0.066 4.175
```

Output
- ΔE to the lowest computed polymorph (meV/atom) = 0
- crystal system = orthorhombic



An optimized crystal structure of Pm7Y2Ho2, computed with PBE-GGA.

```
Pm7Y2Ho2
1.0
22.106 3.724 1.290
1.767 4.369 -2.974
2.124 -0.554 5.123
Pm Ho Y
7 2 2
Cartesian
8.545 2.937 3.259
17.571 2.962 2.876
20.804 4.693 1.937
5.193 2.846 1.501
8.426 4.577 0.562
17.452 4.601 0.180
11.053 1.862 0.645
2.005 1.078 2.438
1.885 2.737 -0.290
11.651 4.766 2.385
14.346 2.772 1.054
```

Output
- ΔE to the lowest computed polymorph (meV/atom) = 62
- crystal system = monoclinic